Version 1
# NaNi2N2

An optimized crystal structure of NaNi2N2 (PBE, the Alexandria database).

Computed properties:
Mass density (g cm⁻³): 5.6
Crystal system: tetragonal

Lattice parameters (Å, degrees): 6.2577 6.2577 2.5563 90.00 90.00 90.00
With the nearest neighbours (Å) after each atom.
Space group P4/mbm (No. 127)
Symmetry-distinct sites (fractional):
Na 0.0000 0.0000 0.0000 (multiplicity 2)  4 Ni 2.47, 2 Na 2.56, 8 N 2.72
Ni 0.1257 0.3743 0.0000 (multiplicity 4)  4 N 2.12, 1 Ni 2.23
N 0.1441 0.6441 0.5000 (multiplicity 4)  4 Ni 2.12

Version 2
# NaNi2N2

An optimized crystal structure of NaNi2N2 (PBE, the Alexandria database).

Computed properties:
Mass density (g cm⁻³): 4.8
Crystal system: tetragonal

Lattice parameters (Å, degrees): 3.6593 3.6593 8.6299 90.00 90.00 90.00
With the nearest neighbours (Å) after each atom.
Space group I4/mmm (No. 139)
Symmetry-distinct sites (fractional):
Na 0.0000 0.0000 0.0000 (multiplicity 2)  2 Ni 2.71, 8 N 2.83
Ni 0.0000 0.0000 0.3140 (multiplicity 4)  4 N 1.91
N 0.0000 0.5000 0.2500 (multiplicity 4)  4 Ni 1.91

On energetic grounds, version 2 is preferred over the next structure by 578 meV per atom.